DFT (PBE) results for an optimized crystal structure of CsTiNbCu2.

extended XYZ file:
```
5
Lattice="4.8545 0.0000 0.0000 0.0000 4.9896 0.0000 0.0000 0.0000 4.8545" Properties=species:S:1:pos:R:3 pbc="T T T"
Cu 0.0000 0.0000 2.4273
Cu 2.4273 0.0000 0.0000
Nb 2.4273 2.4948 2.4273
Ti 0.0000 2.4948 0.0000
Cs 0.0000 0.0000 0.0000
```

## Properties
Symmetry   P4/mmm
Density   5.7 Mg/m³
Total moment   0.00 μB/cell
ΔH_f (0 K)   2.4277 eV per atom

=====

DFT (PBE) results for an optimized crystal structure of CsNdCuS2.

extended XYZ file:
```
10
Lattice="-2.7213 2.8592 -2.7228 -5.3008 -6.0589 -1.0648 -3.0538 3.5144 6.7426" Properties=species:S:1:pos:R:3 pbc="T T T"
Cu 0.0000 0.0000 0.0000
Cu -1.5269 1.7572 3.3713
S -6.4116 -2.2942 1.4707
S -4.6642 2.6089 1.4843
S -9.0305 0.6103 3.7494
S -2.0453 -0.2956 -0.7944
Nd -2.1048 2.2880 0.3435
Nd -3.6702 4.0856 3.6763
Cs -5.6235 0.1709 -1.0577
Cs -5.4523 0.1438 4.0127
```

## Properties
Symmetry   P2/c
Density   4.3 Mg/m³
Total moment   0.00 μB/cell
Raw formation energy   -1093 meV per atom

=====

DFT (PBE) results for an optimized crystal structure of CsNdCuSe2.

extended XYZ file:
```
10
Lattice="-0.7751 -4.6118 -0.9928 3.3611 -2.1869 7.5341 -8.1144 0.8616 2.3328" Properties=species:S:1:pos:R:3 pbc="T T T"
Se 0.2245 -1.8683 1.4070
Se -5.7529 -4.0688 7.4671
Se -4.1300 -3.2060 2.1926
Se -1.3985 -2.7310 6.6815
Cu 0.0000 0.0000 0.0000
Cu -4.0572 0.4308 1.1664
Nd -6.4787 -1.6917 1.2463
Nd -2.4108 -2.0585 0.0937
Cs -0.9832 -4.6569 3.5367
Cs -4.5452 -1.2801 5.3374
```

## Properties
Symmetry   P2/c
Density   4.8 Mg/m³
Total moment   0.00 μB/cell
Raw formation energy   -1024 meV per atom

=====

DFT (PBE) results for an optimized crystal structure of Cs2NdCu2Se4.

extended XYZ file:
```
9
Lattice="4.2096 0.0000 0.0000 0.0000 8.4867 0.5046 -2.1048 -2.8970 7.2909" Properties=species:S:1:pos:R:3 pbc="T T T"
Se 0.0000 -0.8328 7.0711
Se 2.1048 5.5012 4.7878
Se 0.0000 0.0885 3.0077
Se 2.1048 6.4225 0.7244
Cu 2.1048 7.3148 3.0505
Cu 0.0000 -1.7252 4.7450
Cs 2.1048 1.6273 5.5298
Cs 0.0000 3.9624 2.2657
Nd 0.0000 0.0000 0.0000
```

## Properties
Symmetry   C2/m
Density   5.3 Mg/m³
Total moment   0.00 μB/cell
Raw formation energy   -1049 meV per atom

=====

DFT (PBE) results for an optimized crystal structure of CsCuNi3.

extended XYZ file:
```
5
Lattice="4.6025 0.0000 0.0000 0.0000 4.6025 0.0000 0.0000 0.0000 4.6025" Properties=species:S:1:pos:R:3 pbc="T T T"
Ni 2.3013 0.0000 0.0000
Ni 0.0000 0.0000 2.3013
Ni 0.0000 2.3013 0.0000
Cu 0.0000 0.0000 0.0000
Cs 2.3013 2.3013 2.3013
```

## Properties
Symmetry   Pm-3m
Density   6.3 Mg/m³
Total moment   0.66 μB/cell
ΔH_f (0 K)   1.0375 eV per atom
E above lowest polymorph   0.0000 eV per atom

=====

DFT (PBE) results for an optimized crystal structure of Cs3CuNi.

extended XYZ file:
```
5
Lattice="-4.7054 -3.0155 3.2046 4.1500 -4.6010 1.7640 1.4630 3.3527 5.3030" Properties=species:S:1:pos:R:3 pbc="T T T"
Ni 0.0000 0.0000 0.0000
Cs 2.0750 -2.3005 0.8820
Cs 0.7315 1.6764 2.6515
Cs -2.3527 -1.5077 1.6023
Cu 0.4538 -2.1319 5.1358
```

## Properties
Symmetry   Pm-3m
Density   3.2 Mg/m³
Total moment   0.00 μB/cell
ΔH_f (0 K)   0.6228 eV per atom
E above lowest polymorph   0.0000 eV per atom